[1]
Ag2AsW | PBEsol | optimized geometry

```
Ag2AsW
1.0
-2.428 -2.291 1.617
2.417 -2.795 -0.330
1.836 3.621 3.631
W As Ag
1 1 2
direct
0.000 0.000 0.000 W
0.500 0.500 0.000 As
0.750 0.250 0.500 Ag
0.250 0.750 0.500 Ag
```

Computed properties:
**Total magnetic moment**: 0.00 μB/f.u.
**E**: -5.751 eV per atom
**ΔH_f (0 K)**: 633 meV per atom
**Density of states at the Fermi level**: 2.243 states/eV/f.u.



[2]
Ag2AsW | PBEsol | optimized geometry

```
Ag2AsW
1.0
2.691 0.000 0.000
0.000 5.034 0.000
0.000 0.000 5.034
Ag As W
2 1 1
direct
0.000 0.500 0.000 Ag
0.000 0.000 0.500 Ag
0.500 0.500 0.500 As
0.500 0.000 0.000 W
```

Computed properties:
**Total magnetic moment**: 0.00 μB/f.u.
**E**: -5.606 eV per atom
**ΔH_f (0 K)**: 778 meV per atom
**Density of states at the Fermi level**: 2.357 states/eV/f.u.



[3]
AgAs3W | PBEsol | optimized geometry

```
AgAs3W
1.0
4.837 0.000 0.000
0.000 4.837 0.000
0.000 0.000 4.837
W As Ag
1 3 1
direct
0.000 0.000 0.000 W
0.000 0.500 0.000 As
0.500 0.000 0.000 As
0.000 0.000 0.500 As
0.500 0.500 0.500 Ag
```

Computed properties:
**Total magnetic moment**: 0.00 μB/f.u.
**E**: -5.815 eV per atom
**ΔH_f (0 K)**: 673 meV per atom
**Density of states at the Fermi level**: 2.403 states/eV/f.u.



[4]
AgAsW | PBEsol | optimized geometry

```
AgAsW
1.0
4.203 0.000 0.000
2.101 3.640 0.000
2.101 1.213 3.432
As Ag W
1 1 1
direct
0.250 0.250 0.250 As
0.500 0.500 0.500 Ag
0.000 0.000 0.000 W
```

Computed properties:
**Total magnetic moment**: 0.00 μB/f.u.
**E**: -6.660 eV per atom
**ΔH_f (0 K)**: 748 meV per atom
**Density of states at the Fermi level**: 2.179 states/eV/f.u.



[5]
YAg2As | PBEsol | optimized geometry

```
YAg2As
1.0
-0.135 -1.394 3.806
4.045 0.192 0.214
-2.254 5.087 -0.377
As Ag Y
1 2 1
direct
0.500 0.500 0.000 As
0.750 0.250 0.500 Ag
0.250 0.750 0.500 Ag
0.000 0.000 0.000 Y
```

Computed properties:
**Total magnetic moment**: 0.00 μB/f.u.
**E**: -5.112 eV per atom
**ΔH_f (0 K)**: -474 meV per atom
**Density of states at the Fermi level**: 1.628 states/eV/f.u.



[6]
YAgAs | PBEsol | optimized geometry

```
YAgAs
1.0
3.869 0.000 0.000
0.000 4.307 0.000
0.000 -2.154 3.730
Ag As Y
1 1 1
direct
0.836 0.000 0.000 Ag
0.831 0.333 0.667 As
0.333 0.667 0.333 Y
```

Computed properties:
**Total magnetic moment**: 0.00 μB/f.u.
**E**: -5.823 eV per atom
**ΔH_f (0 K)**: -743 meV per atom
**Density of states at the Fermi level**: 1.805 states/eV/f.u.



[7]
YAgAs | PBEsol | optimized geometry

```
YAgAs
1.0
3.838 0.000 0.000
0.000 3.838 0.000
-1.919 -1.919 4.321
Ag Y As
1 1 1
direct
0.995 0.995 0.991 Ag
0.324 0.324 0.648 Y
0.680 0.680 0.361 As
```

Computed properties:
**Total magnetic moment**: 0.00 μB/f.u.
**E**: -5.595 eV per atom
**ΔH_f (0 K)**: -515 meV per atom
**Density of states at the Fermi level**: 1.331 states/eV/f.u.



[8]
ZnAg4As | PBEsol | optimized geometry

```
ZnAg4As
1.0
-2.863 3.989 2.106
-4.249 -1.084 3.053
0.181 0.932 5.258
Ag Zn As
4 1 1
direct
0.625 0.625 0.625 Ag
0.625 0.124 0.625 Ag
0.625 0.625 0.124 Ag
0.124 0.625 0.625 Ag
0.000 0.000 0.000 Zn
0.250 0.250 0.250 As
```

Computed properties:
**Total magnetic moment**: 0.00 μB/f.u.
**E**: -3.052 eV per atom
**ΔH_f (0 K)**: 270 meV per atom
**Density of states at the Fermi level**: 2.430 states/eV/f.u.



[9]
ZnAg2As | PBEsol | optimized geometry

```
ZnAg2As
1.0
-1.400 -1.189 2.497
3.320 0.007 1.865
-1.057 5.156 1.862
Zn As Ag
1 1 2
direct
0.500 0.500 0.759 Zn
0.000 0.000 0.500 As
0.000 0.000 0.989 Ag
0.500 0.500 0.252 Ag
```

Computed properties:
**Total magnetic moment**: 0.00 μB/f.u.
**E above lowest polymorph**: 0 kJ/mol of formula units
**E**: -3.263 eV per atom
**ΔH_f (0 K)**: 65 meV per atom
**Density of states at the Fermi level**: 1.110 states/eV/f.u.



[10]
ZnAg2As | PBEsol | optimized geometry

```
ZnAg2As
1.0
-0.439 2.624 -1.027
-0.936 -1.917 -4.497
-4.180 0.350 2.680
Ag Zn As
2 1 1
direct
0.000 0.000 0.500 Ag
0.000 0.500 0.000 Ag
0.500 0.500 0.500 Zn
0.500 0.000 0.000 As
```

Computed properties:
**Total magnetic moment**: 0.00 μB/f.u.
**E above lowest polymorph**: 13 kJ/mol of formula units
**E**: -3.228 eV per atom
**ΔH_f (0 K)**: 99 meV per atom
**Density of states at the Fermi level**: 1.287 states/eV/f.u.



[11]
Zn2AgAs | PBEsol | optimized geometry

```
Zn2AgAs
1.0
3.526 0.000 0.000
0.000 3.526 0.000
0.000 0.000 5.249
As Ag Zn
1 1 2
direct
0.500 0.500 0.771 As
0.000 0.000 0.480 Ag
0.500 0.500 0.260 Zn
0.000 0.000 0.989 Zn
```

Computed properties:
**Total magnetic moment**: 0.00 μB/f.u.
**E**: -2.802 eV per atom
**ΔH_f (0 K)**: 94 meV per atom
**Density of states at the Fermi level**: 0.990 states/eV/f.u.



[12]
ZrAg3As | PBEsol | optimized geometry

```
ZrAg3As
1.0
4.739 0.000 0.000
0.000 4.739 0.000
0.000 0.000 4.739
Ag Zr As
3 1 1
direct
0.000 0.000 0.500 Ag
0.000 0.500 0.000 Ag
0.500 0.000 0.000 Ag
0.500 0.500 0.500 Zr
0.000 0.000 0.000 As
```

Computed properties:
**Total magnetic moment**: 0.01 μB/f.u.
**E above lowest polymorph**: 0 kJ/mol of formula units
**E**: -4.183 eV per atom
**ΔH_f (0 K)**: 643 meV per atom
**Density of states at the Fermi level**: 5.885 states/eV/f.u.



[13]
ZrAg2As | PBEsol | optimized geometry

```
ZrAg2As
1.0
2.899 0.003 0.000
-0.135 4.725 0.000
-1.382 -2.364 5.314
As Ag Zr
1 2 1
direct
0.500 0.000 0.000 As
0.000 0.000 0.500 Ag
0.500 0.500 0.500 Ag
0.000 0.500 0.000 Zr
```

Computed properties:
**Total magnetic moment**: 0.00 μB/f.u.
**E**: -5.405 eV per atom
**ΔH_f (0 K)**: -200 meV per atom
**Density of states at the Fermi level**: 1.627 states/eV/f.u.



[14]
ZrAg2As | PBEsol | optimized geometry

```
ZrAg2As
1.0
3.504 0.000 0.000
0.000 3.699 0.000
-1.752 0.000 5.715
Zr As Ag
1 1 2
direct
0.594 0.500 0.187 Zr
0.167 0.000 0.334 As
0.335 0.500 0.669 Ag
0.929 0.000 0.858 Ag
```

Computed properties:
**Total magnetic moment**: 0.00 μB/f.u.
**E**: -5.549 eV per atom
**ΔH_f (0 K)**: -344 meV per atom
**Density of states at the Fermi level**: 2.058 states/eV/f.u.



[15]
ZrAg2As | PBEsol | optimized geometry

```
ZrAg2As
1.0
3.005 0.000 0.000
0.000 3.759 0.000
0.000 0.000 6.393
Ag As Zr
2 1 1
direct
0.000 0.000 0.016 Ag
0.500 0.500 0.236 Ag
0.000 0.000 0.511 As
0.500 0.500 0.737 Zr
```

Computed properties:
**Total magnetic moment**: 0.00 μB/f.u.
**E**: -5.440 eV per atom
**ΔH_f (0 K)**: -235 meV per atom
**Density of states at the Fermi level**: 1.692 states/eV/f.u.



[16]
ZrAg3As | PBEsol | optimized geometry

```
ZrAg3As
1.0
5.072 0.000 0.000
0.000 5.072 0.000
0.000 0.000 5.072
Zr Ag As
1 3 1
direct
0.000 0.000 0.000 Zr
0.000 0.000 0.500 Ag
0.000 0.500 0.000 Ag
0.500 0.000 0.000 Ag
0.500 0.500 0.500 As
```

Computed properties:
**Total magnetic moment**: 0.61 μB/f.u.
**E above lowest polymorph**: 419 kJ/mol of formula units
**E**: -3.314 eV per atom
**ΔH_f (0 K)**: 1512 meV per atom
**Density of states at the Fermi level**: 5.795 states/eV/f.u.



[17]
ZrAg2As | PBEsol | optimized geometry

```
ZrAg2As
1.0
3.536 0.000 0.000
0.000 3.536 0.000
0.000 0.000 5.993
Ag Zr As
2 1 1
direct
0.500 0.500 0.214 Ag
0.000 0.000 0.023 Ag
0.500 0.500 0.717 Zr
0.000 0.000 0.546 As
```

Computed properties:
**Total magnetic moment**: 0.00 μB/f.u.
**E**: -5.453 eV per atom
**ΔH_f (0 K)**: -249 meV per atom
**Density of states at the Fermi level**: 2.007 states/eV/f.u.



[18]
Ag3Au | PBEsol | optimized geometry

```
Ag3Au
1.0
-2.780 -3.382 2.723
2.671 -3.881 -2.094
3.423 0.282 3.845
Ag Au
6 2
direct
0.000 0.750 0.500 Ag
0.500 0.000 0.250 Ag
0.750 0.500 0.000 Ag
0.000 0.250 0.500 Ag
0.500 0.000 0.750 Ag
0.250 0.500 0.000 Ag
0.000 0.000 0.000 Au
0.500 0.500 0.500 Au
```

Computed properties:
**Total magnetic moment**: 0.00 μB/f.u.
**E**: -3.398 eV per atom
**ΔH_f (0 K)**: 66 meV per atom
**Density of states at the Fermi level**: 0.968 states/eV/f.u.



[19]
AgAu7 | PBEsol | optimized geometry

```
AgAu7
1.0
-1.376 -5.538 -0.744
3.823 -4.110 1.266
-0.834 -3.396 4.570
Au Ag
7 1
direct
0.000 0.500 0.000 Au
0.500 0.500 0.500 Au
0.000 0.500 0.500 Au
0.500 0.000 0.000 Au
0.000 0.000 0.500 Au
0.500 0.500 0.000 Au
0.500 0.000 0.500 Au
0.000 0.000 0.000 Ag
```

Computed properties:
**Total magnetic moment**: 0.00 μB/f.u.
**E**: -3.869 eV per atom
**ΔH_f (0 K)**: -22 meV per atom
**Density of states at the Fermi level**: 2.600 states/eV/f.u.



[20]
Ag3Au2 | PBEsol | optimized geometry

```
Ag3Au2
1.0
-0.762 1.250 -4.960
1.351 -3.837 -3.870
-6.167 -3.273 2.819
Ag Au
6 4
direct
0.470 0.076 0.198 Ag
0.928 0.000 0.000 Ag
0.348 0.924 0.802 Ag
0.178 0.500 0.500 Ag
0.522 0.576 0.302 Ag
0.796 0.424 0.698 Ag
0.058 0.044 0.406 Au
0.352 0.456 0.906 Au
0.902 0.544 0.094 Au
0.696 0.956 0.594 Au
```

Computed properties:
**Total magnetic moment**: 0.00 μB/f.u.
**E above lowest polymorph**: 39 kJ/mol of formula units
**E**: -3.528 eV per atom
**ΔH_f (0 K)**: 28 meV per atom
**Density of states at the Fermi level**: 1.539 states/eV/f.u.



[21]
Ag2Au3 | PBEsol | optimized geometry

```
Ag2Au3
1.0
2.889 0.000 0.000
1.445 4.755 -0.022
1.445 1.287 6.083
Au Ag
3 2
direct
0.901 0.800 0.398 Au
0.500 0.000 0.000 Au
0.099 0.200 0.602 Au
0.301 0.600 0.799 Ag
0.699 0.400 0.201 Ag
```

Computed properties:
**Total magnetic moment**: 0.00 μB/f.u.
**E above lowest polymorph**: 2 kJ/mol of formula units
**E**: -3.724 eV per atom
**ΔH_f (0 K)**: -45 meV per atom
**Density of states at the Fermi level**: 1.375 states/eV/f.u.



[22]
Ag2Au3 | PBEsol | optimized geometry

```
Ag2Au3
1.0
-0.042 0.752 -2.771
1.867 -1.179 -1.836
-7.013 -8.755 -3.756
Au Ag
3 2
direct
0.201 0.201 0.398 Au
0.000 0.000 0.000 Au
0.799 0.799 0.602 Au
0.600 0.600 0.200 Ag
0.400 0.400 0.800 Ag
```

Computed properties:
**Total magnetic moment**: 0.00 μB/f.u.
**E above lowest polymorph**: 5 kJ/mol of formula units
**E**: -3.717 eV per atom
**ΔH_f (0 K)**: -38 meV per atom
**Density of states at the Fermi level**: 1.417 states/eV/f.u.



[23]
Ag4Au5 | PBEsol | optimized geometry

```
Ag4Au5
1.0
4.021 0.000 0.000
2.011 6.112 0.000
2.011 0.000 6.112
Ag Au
4 5
direct
0.334 0.666 0.666 Ag
0.000 0.666 0.334 Ag
0.666 0.334 0.334 Ag
0.000 0.334 0.666 Ag
0.668 0.000 0.665 Au
0.332 0.000 0.335 Au
0.000 0.000 0.000 Au
0.332 0.335 0.000 Au
0.668 0.665 0.000 Au
```

Computed properties:
**Total magnetic moment**: 0.00 μB/f.u.
**E above lowest polymorph**: 0 kJ/mol of formula units
**E**: -3.699 eV per atom
**ΔH_f (0 K)**: -47 meV per atom
**Density of states at the Fermi level**: 2.315 states/eV/f.u.



[24]
Ag5Au24 | PBEsol | optimized geometry

```
Ag5Au24
1.0
-0.399 6.897 5.256
0.803 -7.219 4.754
6.855 0.771 -5.270
Au Ag
24 5
direct
0.384 0.192 0.000 Au
0.727 0.307 0.307 Au
0.808 0.808 0.192 Au
0.000 0.384 0.192 Au
0.693 0.000 0.420 Au
0.000 0.192 0.384 Au
0.192 0.000 0.384 Au
0.693 0.420 0.000 Au
0.616 0.616 0.808 Au
0.000 0.693 0.420 Au
0.192 0.384 0.000 Au
0.000 0.420 0.693 Au
0.808 0.192 0.808 Au
0.307 0.727 0.307 Au
0.616 0.808 0.616 Au
0.192 0.808 0.808 Au
0.808 0.616 0.616 Au
0.420 0.000 0.693 Au
0.580 0.273 0.580 Au
0.420 0.693 0.000 Au
0.580 0.580 0.273 Au
0.307 0.307 0.727 Au
0.273 0.580 0.580 Au
0.384 0.000 0.192 Au
0.668 0.000 0.000 Ag
0.332 0.332 0.332 Ag
0.000 0.000 0.668 Ag
0.000 0.000 0.000 Ag
0.000 0.668 0.000 Ag
```

Computed properties:
**Total magnetic moment**: 0.00 μB/f.u.
**E**: -3.769 eV per atom
**ΔH_f (0 K)**: 49 meV per atom
**Density of states at the Fermi level**: 8.258 states/eV/f.u.



[25]
Ag5Au | PBEsol | optimized geometry

```
Ag5Au
1.0
2.851 0.000 0.000
0.000 4.711 0.000
-1.425 0.000 7.424
Ag Au
5 1
direct
0.000 0.000 0.000 Ag
0.333 0.000 0.666 Ag
0.222 0.500 0.444 Ag
0.556 0.500 0.113 Ag
0.666 0.000 0.332 Ag
0.889 0.500 0.779 Au
```

Computed properties:
**Total magnetic moment**: 0.00 μB/f.u.
**E above lowest polymorph**: 5 kJ/mol of formula units
**E**: -3.431 eV per atom
**ΔH_f (0 K)**: -17 meV per atom
**Density of states at the Fermi level**: 1.765 states/eV/f.u.



[26]
Ag3Au | PBEsol | optimized geometry

```
Ag3Au
1.0
4.660 0.000 0.000
0.000 5.746 0.000
0.000 2.873 4.983
Ag Au
6 2
direct
0.250 0.917 0.166 Ag
0.250 0.417 0.667 Ag
0.250 0.917 0.667 Ag
0.750 0.083 0.834 Ag
0.750 0.083 0.333 Ag
0.750 0.583 0.333 Ag
0.750 0.584 0.832 Au
0.250 0.416 0.168 Au
```

Computed properties:
**Total magnetic moment**: 0.00 μB/f.u.
**E**: -3.492 eV per atom
**ΔH_f (0 K)**: -28 meV per atom
**Density of states at the Fermi level**: 1.402 states/eV/f.u.



[27]
Ag8Au | PBEsol | optimized geometry

```
Ag8Au
1.0
4.038 0.000 0.000
2.019 6.074 0.000
2.019 0.000 6.074
Ag Au
8 1
direct
0.334 0.666 0.666 Ag
0.666 0.334 0.334 Ag
0.667 0.666 0.000 Ag
0.667 0.000 0.666 Ag
0.000 0.666 0.334 Ag
0.333 0.000 0.334 Ag
0.000 0.334 0.666 Ag
0.333 0.334 0.000 Ag
0.000 0.000 0.000 Au
```

Computed properties:
**Total magnetic moment**: 0.00 μB/f.u.
**E**: -3.397 eV per atom
**ΔH_f (0 K)**: -18 meV per atom
**Density of states at the Fermi level**: 2.461 states/eV/f.u.